No. 1
SiPtO3 | GGA-PBE | optimized geometry

Cell and atoms, written as POSCAR:
```
SiPtO3
1.0
3.5903 0.0000 0.0000
0.0000 3.5903 0.0000
0.0000 0.0000 3.5903
Si Pt O
1 1 3
direct
0.0000 0.0000 0.0000
0.5000 0.5000 0.5000
0.0000 0.0000 0.5000
0.0000 0.5000 0.0000
0.5000 0.0000 0.0000
```

Output
The calculation puts the density of states at the Fermi level at 1.97 states/eV/cell. The calculation puts the energy at -30.36 eV per formula unit. The space group is Pm-3m, No. 221.

---

No. 2
SiPtO2 | GGA-PBE | optimized geometry

Cell and atoms, written as POSCAR:
```
SiPtO2
1.0
5.6032 0.0000 0.0000
0.0000 5.6032 0.0000
0.0000 0.0000 5.6032
Si Pt O
4 4 8
direct
0.0000 0.0000 0.0000
0.0000 0.5000 0.5000
0.5000 0.0000 0.5000
0.5000 0.5000 0.0000
0.0000 0.0000 0.5000
0.0000 0.5000 0.0000
0.5000 0.0000 0.0000
0.5000 0.5000 0.5000
0.2500 0.2500 0.2500
0.2500 0.2500 0.7500
0.2500 0.7500 0.2500
0.2500 0.7500 0.7500
0.7500 0.2500 0.2500
0.7500 0.2500 0.7500
0.7500 0.7500 0.2500
0.7500 0.7500 0.7500
```

Output
The excess energy over the best structure of this formula in the dataset is 1.9762 eV/atom. The calculation puts the density of states at the Fermi level at 19.84 states/eV/cell. The calculation puts the energy at -20.03 eV per formula unit. The space group is Fm-3m, No. 225.

---

No. 3
Si2PtO | GGA-PBE | optimized geometry

Cell and atoms, written as POSCAR:
```
Si2PtO
1.0
4.8000 0.0000 0.0000
0.0000 4.8000 0.0000
0.0000 0.0000 10.5091
Si Pt O
8 4 4
direct
0.1839 0.2500 0.1250
0.2500 0.6839 0.3750
0.2500 0.8161 0.8750
0.3161 0.2500 0.6250
0.6839 0.7500 0.6250
0.7500 0.1839 0.8750
0.7500 0.3161 0.3750
0.8161 0.7500 0.1250
0.0000 0.0000 0.5000
0.0000 0.5000 0.7500
0.5000 0.0000 0.2500
0.5000 0.5000 0.0000
0.0000 0.0000 0.0000
0.0000 0.5000 0.2500
0.5000 0.0000 0.7500
0.5000 0.5000 0.5000
```

Output
The excess energy over the best structure of this formula in the dataset is 0.0000 eV/atom. The calculation puts the density of states at the Fermi level at 4.94 states/eV/cell. The calculation puts the energy at -24.18 eV per formula unit. The space group is I-42d, No. 122.